Below is crystalline ZrIn2P at its relaxed geometry, with properties calculated at the PBE-GGA level.

The calculation puts the size of the total moment at 0.000 Bohr magnetons per cell. The energy relative to the elements comes out at -0.30 eV/atom. The volume is 86.9 Å³ per cell. The value obtained for the density of states at the Fermi level is 0.54 states/eV/atom. The calculation puts the density at 6.7 g/cm³.

Cell: 5.0314 5.0314 5.3665 Å, 70.14 70.14 43.41°
With the nearest neighbours (Å) after each atom.
Atoms (fractional coordinates):
Zr (0.2076, 0.2076, 0.3681)  3 P 2.69-2.74
P (0.4985, 0.4985, 0.3766)  3 Zr 2.69-2.74, 4 In 2.72-2.91
In (0.0045, 0.0045, 0.0030)  2 P 2.72, 1 In 2.80
In (0.7895, 0.7895, 0.7523)  3 In 2.80-3.12, 2 P 2.91, 2 Zr 3.07